Run w
# HoZr2Cu (PBE-GGA, optimized geometry)
data_HoZr2Cu
_cell_length_a 3.1301
_cell_length_b 3.1301
_cell_length_c 32.3084
_cell_angle_alpha 90.00
_cell_angle_beta 90.00
_cell_angle_gamma 120.00
_symmetry_space_group_name_H-M 'R -3 m'
_symmetry_Int_Tables_number 166
_symmetry_space_group_name_Hall '-R 3 2"'
loop_
_atom_site_label
_atom_site_fract_x
_atom_site_fract_y
_atom_site_fract_z
Ho1 0.0000 0.0000 0.0000
Zr1 0.0000 0.0000 0.0996
Cu1 0.0000 0.0000 0.5000
# Size of the total moment (Bohr magnetons per cell): 0.000
# Calculated density (g/cm³): 7.47
# Calculated volume (Å³ per cell): 274

=====

Run x
# HoZr2Cu (PBE-GGA, optimized geometry)
data_HoZr2Cu
_cell_length_a 3.2856
_cell_length_b 3.2856
_cell_length_c 8.0599
_cell_angle_alpha 90.00
_cell_angle_beta 90.00
_cell_angle_gamma 90.00
_symmetry_space_group_name_H-M 'P 4/m m m'
_symmetry_Int_Tables_number 123
_symmetry_space_group_name_Hall '-P 4 2'
loop_
_atom_site_label
_atom_site_fract_x
_atom_site_fract_y
_atom_site_fract_z
Ho1 0.0000 0.0000 0.0000
Zr1 0.5000 0.5000 0.2922
Cu1 0.0000 0.0000 0.5000
# Size of the total moment (Bohr magnetons per cell): 0.000
# Calculated density (g/cm³): 7.84
# Calculated volume (Å³ per cell): 87

=====

Most stable = run x

=====

Run w
# HoZrCu2 (PBE-GGA, optimized geometry)
data_HoZrCu2
_cell_length_a 3.3649
_cell_length_b 3.3649
_cell_length_c 6.7280
_cell_angle_alpha 90.00
_cell_angle_beta 90.00
_cell_angle_gamma 90.00
_symmetry_space_group_name_H-M 'P 4/m m m'
_symmetry_Int_Tables_number 123
_symmetry_space_group_name_Hall '-P 4 2'
loop_
_atom_site_label
_atom_site_fract_x
_atom_site_fract_y
_atom_site_fract_z
Ho1 0.0000 0.0000 0.0000
Zr1 0.0000 0.0000 0.5000
Cu1 0.5000 0.5000 0.2751
# Size of the total moment (Bohr magnetons per cell): 0.753
# Calculated density (g/cm³): 8.35
# Calculated volume (Å³ per cell): 76

=====

Run x
# HoZrCu2 (PBE-GGA, optimized geometry)
data_HoZrCu2
_cell_length_a 6.7227
_cell_length_b 6.7227
_cell_length_c 6.7227
_cell_angle_alpha 90.00
_cell_angle_beta 90.00
_cell_angle_gamma 90.00
_symmetry_space_group_name_H-M 'F m -3 m'
_symmetry_Int_Tables_number 225
_symmetry_space_group_name_Hall '-F 4 2 3'
loop_
_atom_site_label
_atom_site_fract_x
_atom_site_fract_y
_atom_site_fract_z
Ho1 0.0000 0.0000 0.0000
Zr1 0.0000 0.0000 0.5000
Cu1 0.2500 0.2500 0.2500
# Size of the total moment (Bohr magnetons per cell): 3.286
# Calculated density (g/cm³): 8.38
# Calculated volume (Å³ per cell): 304

=====

Most stable = run w

=====

Run w
# HoZrCu (PBE-GGA, optimized geometry)
data_HoZrCu
_cell_length_a 3.4116
_cell_length_b 17.3571
_cell_length_c 4.4085
_cell_angle_alpha 90.00
_cell_angle_beta 90.00
_cell_angle_gamma 90.00
_symmetry_space_group_name_H-M 'C m c m'
_symmetry_Int_Tables_number 63
_symmetry_space_group_name_Hall '-C 2c 2'
loop_
_atom_site_label
_atom_site_fract_x
_atom_site_fract_y
_atom_site_fract_z
Ho1 0.0000 0.0966 0.2500
Zr1 0.0000 0.2876 0.2500
Cu1 0.0000 0.4580 0.2500
# Size of the total moment (Bohr magnetons per cell): 0.000
# Calculated density (g/cm³): 8.13
# Calculated volume (Å³ per cell): 261

=====

Run x
# HoZrCu (PBE-GGA, optimized geometry)
data_HoZrCu
_cell_length_a 3.3354
_cell_length_b 3.3354
_cell_length_c 11.6606
_cell_angle_alpha 90.00
_cell_angle_beta 90.00
_cell_angle_gamma 90.00
_symmetry_space_group_name_H-M 'I 4 m m'
_symmetry_Int_Tables_number 107
_symmetry_space_group_name_Hall 'I 4 -2'
loop_
_atom_site_label
_atom_site_fract_x
_atom_site_fract_y
_atom_site_fract_z
Ho1 0.0000 0.0000 0.0000
Zr1 0.0000 0.0000 0.3007
Cu1 0.0000 0.0000 0.6692
# Size of the total moment (Bohr magnetons per cell): 0.000
# Calculated density (g/cm³): 8.18
# Calculated volume (Å³ per cell): 130

=====

Most stable = run w

=====

Run w
# Cu2I3 (PBE-GGA, optimized geometry)
data_Cu2I3
_cell_length_a 7.3353
_cell_length_b 12.7137
_cell_length_c 7.2352
_cell_angle_alpha 90.00
_cell_angle_beta 108.99
_cell_angle_gamma 90.00
_symmetry_space_group_name_H-M 'C 1 c 1'
_symmetry_Int_Tables_number 9
loop_
_symmetry_equiv_pos_as_xyz
'x,y,z'
'x,-y,z+1/2'
'x+1/2,y+1/2,z'
'x+1/2,-y+1/2,z+1/2'
loop_
_atom_site_label
_atom_site_fract_x
_atom_site_fract_y
_atom_site_fract_z
Cu1 0.0000 0.0846 0.0000
Cu2 0.0142 0.2515 0.5020
I1 0.1326 0.4167 0.3753
I2 0.1369 0.2522 0.8835
I3 0.1397 0.0816 0.3806
# Size of the total moment (Bohr magnetons per cell): 0.000
# Calculated density (g/cm³): 5.29
# Calculated volume (Å³ per cell): 638

=====

Run x
# Cu2I3 (PBE-GGA, optimized geometry)
data_Cu2I3
_cell_length_a 7.0230
_cell_length_b 7.0230
_cell_length_c 19.3414
_cell_angle_alpha 90.00
_cell_angle_beta 90.00
_cell_angle_gamma 120.00
_symmetry_space_group_name_H-M 'R -3 c'
_symmetry_Int_Tables_number 167
_symmetry_space_group_name_Hall '-R 3 2"c'
loop_
_atom_site_label
_atom_site_fract_x
_atom_site_fract_y
_atom_site_fract_z
Cu1 0.0000 0.0000 0.1595
I1 0.0000 0.3185 0.2500
# Size of the total moment (Bohr magnetons per cell): 0.004
# Calculated density (g/cm³): 6.12
# Calculated volume (Å³ per cell): 826

=====

Most stable = run w

=====

Run w
# Cu3I4 (PBE-GGA, optimized geometry)
data_Cu3I4
_cell_length_a 14.5837
_cell_length_b 3.9803
_cell_length_c 7.8851
_cell_angle_alpha 90.00
_cell_angle_beta 95.00
_cell_angle_gamma 90.00
_symmetry_space_group_name_H-M 'C 1 2/m 1'
_symmetry_Int_Tables_number 12
loop_
_symmetry_equiv_pos_as_xyz
'x,y,z'
'-x,-y,-z'
'-x,y,-z'
'x,-y,z'
'x+1/2,y+1/2,z'
'-x+1/2,-y+1/2,-z'
'-x+1/2,y+1/2,-z'
'x+1/2,-y+1/2,z'
loop_
_atom_site_label
_atom_site_fract_x
_atom_site_fract_y
_atom_site_fract_z
Cu1 0.0000 0.0000 0.0000
Cu2 0.1913 0.5000 0.4367
I1 0.1104 0.5000 0.1211
I2 0.1320 0.0000 0.6105
# Size of the total moment (Bohr magnetons per cell): 0.000
# Calculated density (g/cm³): 5.09
# Calculated volume (Å³ per cell): 456

=====

Run x
# Cu3I4 (PBE-GGA, optimized geometry)
data_Cu3I4
_cell_length_a 5.9888
_cell_length_b 5.9888
_cell_length_c 5.9888
_cell_angle_alpha 90.00
_cell_angle_beta 90.00
_cell_angle_gamma 90.00
_symmetry_space_group_name_H-M 'P -4 3 m'
_symmetry_Int_Tables_number 215
_symmetry_space_group_name_Hall 'P -4 2 3'
loop_
_atom_site_label
_atom_site_fract_x
_atom_site_fract_y
_atom_site_fract_z
Cu1 0.0000 0.0000 0.5000
I1 0.2536 0.2536 0.7464
# Size of the total moment (Bohr magnetons per cell): 0.000
# Calculated density (g/cm³): 5.40
# Calculated volume (Å³ per cell): 215

=====

Most stable = run x

=====

Run w
# InCuI2 (PBE-GGA, optimized geometry)
data_InCuI2
_cell_length_a 5.4291
_cell_length_b 5.4291
_cell_length_c 24.4766
_cell_angle_alpha 90.00
_cell_angle_beta 90.00
_cell_angle_gamma 120.00
_symmetry_space_group_name_H-M 'R -3 m'
_symmetry_Int_Tables_number 166
_symmetry_space_group_name_Hall '-R 3 2"'
loop_
_atom_site_label
_atom_site_fract_x
_atom_site_fract_y
_atom_site_fract_z
In1 0.0000 0.0000 0.0000
Cu1 0.0000 0.0000 0.5000
I1 0.0000 0.0000 0.4015
# Size of the total moment (Bohr magnetons per cell): 0.000
# Calculated density (g/cm³): 3.45
# Calculated volume (Å³ per cell): 625

=====

Run x
# InCuI2 (PBE-GGA, optimized geometry)
data_InCuI2
_cell_length_a 7.8348
_cell_length_b 7.8348
_cell_length_c 7.8348
_cell_angle_alpha 90.00
_cell_angle_beta 90.00
_cell_angle_gamma 90.00
_symmetry_space_group_name_H-M 'F m -3 m'
_symmetry_Int_Tables_number 225
_symmetry_space_group_name_Hall '-F 4 2 3'
loop_
_atom_site_label
_atom_site_fract_x
_atom_site_fract_y
_atom_site_fract_z
In1 0.0000 0.0000 0.0000
Cu1 0.0000 0.0000 0.5000
I1 0.2500 0.2500 0.2500
# Size of the total moment (Bohr magnetons per cell): 0.000
# Calculated density (g/cm³): 5.97
# Calculated volume (Å³ per cell): 481

=====

Run y
# InCuI2 (PBE-GGA, optimized geometry)
data_InCuI2
_cell_length_a 7.9143
_cell_length_b 7.9143
_cell_length_c 9.0757
_cell_angle_alpha 90.00
_cell_angle_beta 90.00
_cell_angle_gamma 90.00
_symmetry_space_group_name_H-M 'I -4 2 d'
_symmetry_Int_Tables_number 122
_symmetry_space_group_name_Hall 'I -4 2bw'
loop_
_atom_site_label
_atom_site_fract_x
_atom_site_fract_y
_atom_site_fract_z
In1 0.0000 0.0000 0.0000
Cu1 0.0000 0.0000 0.5000
I1 0.1682 0.7500 0.6250
# Size of the total moment (Bohr magnetons per cell): 0.000
# Calculated density (g/cm³): 5.05
# Calculated volume (Å³ per cell): 568

=====

Most stable = run y